KAlPO2 | PBE-GGA | relaxed

Lattice parameters (Å, degrees): 4.4543 4.4543 6.2492 90.00 90.00 90.00
Each line ends with the local moment (μB).
Atoms (fractional coordinates):
1 P 0.0000 0.0000 0.5000  -0.49
2 K 0.0000 0.0000 0.0000  -0.10
3 Al 0.5000 0.5000 0.5000  0.00
4 O 0.0000 0.5000 0.0000  -1.05
5 O 0.5000 0.0000 0.0000  -1.05

Computed properties:
**Formation energy without anion corrections**: 1.067 eV/atom
**Density**: 1.7 Mg/m³
**Magnetization**: 3.8 Bohr magnetons per cell
**E**: -14.8 eV/f.u.

NaTcI2O | PBE-GGA | relaxed

Lattice parameters (Å, degrees): 5.7194 5.7194 3.7889 90.00 90.00 90.00
Atoms (fractional coordinates):
1 I 0.0000 0.5000 0.0000
2 I 0.5000 0.0000 0.0000
3 Na 0.5000 0.5000 0.5000
4 Tc 0.0000 0.0000 0.0000
5 O 0.0000 0.0000 0.5000

Computed properties:
**Formation energy without anion corrections**: -0.648 eV/atom
**Density**: 5.2 Mg/m³
**Magnetization**: 0.0 Bohr magnetons per cell
**E**: -23.0 eV/f.u.

CeY2I | PBE-GGA | relaxed

Lattice parameters (Å, degrees): 3.5619 3.5619 11.8722 81.37 81.37 60.00
Each line ends with the local moment (μB).
Atoms (fractional coordinates):
1 I 0.5000 0.5000 0.5000  0.00
2 Y 0.0952 0.0952 0.7144  -0.05
3 Y 0.9048 0.9048 0.2856  -0.05
4 Ce 0.0000 0.0000 0.0000  0.78

Computed properties:
**Formation energy without anion corrections**: -0.003 eV/atom
**Density**: 5.7 Mg/m³
**Magnetization**: 0.7 Bohr magnetons per cell
**E**: -20.4 eV/f.u.

YCuAu | PBE-GGA | relaxed

Lattice parameters (Å, degrees): 5.4743 6.0549 7.7507 111.44 90.00 90.00
Atoms (fractional coordinates):
1 Y 0.8760 0.2996 0.1254
2 Y 0.3760 0.7004 0.3746
3 Y 0.1240 0.7004 0.8746
4 Y 0.6240 0.2996 0.6254
5 Cu 0.1215 0.3277 0.4843
6 Cu 0.6215 0.6723 0.0157
7 Cu 0.8785 0.6723 0.5157
8 Cu 0.3785 0.3277 0.9843
9 Au 0.9107 0.8984 0.2839
10 Au 0.4107 0.1016 0.2161
11 Au 0.0893 0.1016 0.7161
12 Au 0.5893 0.8984 0.7839

Computed properties:
**Formation enthalpy at 0 K**: -0.556 eV/atom
**Density**: 9.7 Mg/m³
**Magnetization**: 0.0 Bohr magnetons per cell
**E**: -15.5 eV/f.u.